LiMnF2: relaxed, PBE with a Hubbard U.

a = 4.9773 Å, b = 4.9773 Å, c = 5.8261 Å
α = 64.71°, β = 64.71°, γ = 90.00°
Site moments in Bohr magnetons follow the coordinates.
Positions (direct):
Mn  0.0000  0.0000  0.0000  4.70
Mn  0.7500  0.2500  0.5000  4.69
Li  0.5000  0.5000  0.0000  0.00
Li  0.2500  0.7500  0.5000  0.00
F  0.5724  0.1250  0.2500  0.04
F  0.1776  0.6250  0.2500  0.04
F  0.3750  0.4276  0.7500  0.04
F  0.8750  0.8224  0.7500  0.04

Results
DFT total energy: -0.1948 hartree per atom
Symmetry: I-42d, No. 122